[1]
Sm2ErCu4Ge4, optimized geometry, DFT GGA-PBE; mass density = 8.5 g cm⁻³; symmetry = Immm (71); magnetization = 0.0 μB per formula unit; E_tot = -54.1 eV for the cell shown; crystal system = orthorhombic
1.0
-2.130 3.319 7.032
2.130 -3.319 7.032
2.130 3.319 -7.032
Cu Er Ge Sm
4 1 4 2
direct
0.644 0.332 0.312
0.980 0.668 0.312
0.020 0.332 0.688
0.356 0.668 0.688
0.000 0.000 0.000
0.215 0.215 0.000
0.785 0.785 0.000
0.695 0.500 0.195
0.305 0.500 0.805
0.631 0.131 0.500
0.369 0.869 0.500


[2]
HoOF, optimized geometry, DFT GGA-PBE; mass density = 8.7 g cm⁻³; symmetry = R-3m (166); magnetization = 0.0 μB per formula unit; E_tot = -46.2 eV for the cell shown; crystal system = trigonal
1.0
1.879 1.085 6.230
-1.879 1.085 6.230
0.000 -2.170 6.230
F Ho O
2 2 2
direct
0.131 0.131 0.131
0.869 0.869 0.869
0.258 0.258 0.258
0.742 0.742 0.742
0.379 0.379 0.379
0.621 0.621 0.621


[3]
NdCuGeTe2Se, optimized geometry, DFT GGA-PBE; mass density = 6.4 g cm⁻³; symmetry = Cmcm (63); magnetization = 0.0 μB per formula unit; E_tot = -53.1 eV for the cell shown; crystal system = orthorhombic
1.0
-5.962 2.040 3.897
2.960 -1.407 -6.645
-2.994 -10.416 0.872
Cu Ge Nd Se Te
2 2 2 2 4
direct
0.023 0.977 0.250
0.977 0.023 0.750
0.739 0.261 0.250
0.261 0.739 0.750
0.500 0.500 0.000
0.500 0.500 0.500
0.420 0.580 0.250
0.580 0.420 0.750
0.157 0.843 0.077
0.157 0.843 0.423
0.843 0.157 0.577
0.843 0.157 0.923


[4]
ZrPOsO, optimized geometry, DFT GGA-PBE; mass density = 8.9 g cm⁻³; symmetry = Pmc2_1 (26); magnetization = 0.0 μB per formula unit; E_tot = -68.2 eV for the cell shown; E above lowest polymorph = 483.7 meV per atom; crystal system = orthorhombic
1.0
4.255 0.000 0.000
0.000 5.456 0.000
0.000 0.000 5.304
O Os P Zr
2 2 2 2
direct
0.000 0.218 0.383
0.000 0.782 0.883
0.000 0.430 0.056
0.000 0.570 0.556
0.500 0.738 0.412
0.500 0.262 0.912
0.500 0.234 0.402
0.500 0.766 0.902


[5]
SmGa2Ge2, optimized geometry, DFT GGA-PBE; mass density = 6.8 g cm⁻³; symmetry = I4/mmm (139); magnetization = 0.0 μB per formula unit; E_tot = -21.1 eV for the cell shown; crystal system = tetragonal
1.0
-2.229 2.229 5.342
2.229 -2.229 5.342
2.229 2.229 -5.342
Ga Ge Sm
2 2 1
direct
0.384 0.384 0.000
0.616 0.616 0.000
0.750 0.250 0.500
0.250 0.750 0.500
0.000 0.000 0.000


[6]
TaFeCo2, optimized geometry, DFT GGA-PBE; mass density = 11.9 g cm⁻³; symmetry = F-43m (216); magnetization = 2.9 μB per formula unit; E_tot = -34.4 eV for the cell shown; crystal system = cubic
1.0
-2.798 -3.028 -0.048
-3.540 0.432 2.069
-3.540 0.498 -2.054
Co Fe Ta
2 1 1
direct
0.000 0.000 0.000
0.750 0.750 0.750
0.250 0.250 0.250
0.500 0.500 0.500


[7]
ThBeCu, optimized geometry, DFT GGA-PBE; mass density = 8.2 g cm⁻³; symmetry = F-43m (216); magnetization = 0.0 μB per formula unit; E_tot = -14.2 eV for the cell shown; E above lowest polymorph = 0.0 meV per atom; crystal system = cubic
1.0
-4.002 0.784 1.745
-1.270 4.163 0.854
-3.159 1.904 -2.463
Be Cu Th
1 1 1
direct
0.250 0.250 0.250
0.000 0.000 0.000
0.750 0.750 0.750


[8]
SmGdSb2, optimized geometry, DFT GGA-PBE; mass density = 7.4 g cm⁻³; symmetry = P4/mmm (123); magnetization = 0.0 μB per formula unit; E_tot = -22.3 eV for the cell shown; crystal system = tetragonal
1.0
-0.625 2.448 3.653
-1.825 -3.502 2.034
5.658 -1.718 2.119
Gd Sb Sm
1 2 1
direct
0.500 0.500 0.500
0.500 0.500 0.000
0.000 0.000 0.500
0.000 0.000 0.000